Record 1
LiIr2Pb: optimized geometry, GGA-PBE.

DFT total energy = -5.336 eV per atom
Fermi-level density of states = 11.95 states/eV/cell
energy relative to the elements = 0.4999 eV/atom
M_tot = 0.00 μB/cell

Structure (POSCAR):
```
LiIr2Pb
1.0
2.8479 0.0000 0.0000
-1.4240 2.4664 0.0000
0.0000 0.0000 29.8318
Li Ir Pb
3 6 3
direct
0.0000 0.0000 0.0000
0.3333 0.6667 0.6667
0.6667 0.3333 0.3333
0.0000 0.0000 0.2608
0.0000 0.0000 0.7392
0.3333 0.6667 0.4059
0.3333 0.6667 0.9274
0.6667 0.3333 0.0726
0.6667 0.3333 0.5941
0.0000 0.0000 0.5000
0.3333 0.6667 0.1667
0.6667 0.3333 0.8333
```

---

Record 2
Li2IrPb: optimized geometry, GGA-PBE.

DFT total energy = -3.986 eV per atom
Fermi-level density of states = 11.90 states/eV/cell
energy relative to the elements = 0.1130 eV/atom
M_tot = 1.12 μB/cell

Structure (POSCAR):
```
Li2IrPb
1.0
3.0388 0.0000 0.0000
-1.5194 2.6317 0.0000
0.0000 0.0000 27.3588
Li Ir Pb
6 3 3
direct
0.0000 0.0000 0.2376
0.0000 0.0000 0.7624
0.3333 0.6667 0.4291
0.3333 0.6667 0.9042
0.6667 0.3333 0.0958
0.6667 0.3333 0.5709
0.0000 0.0000 0.5000
0.3333 0.6667 0.1667
0.6667 0.3333 0.8333
0.0000 0.0000 0.0000
0.3333 0.6667 0.6667
0.6667 0.3333 0.3333
```

---

Record 3
LiIrPb: optimized geometry, GGA-PBE.

DFT total energy = -4.798 eV per atom
Fermi-level density of states = 6.09 states/eV/cell
energy relative to the elements = 0.0296 eV/atom
M_tot = 0.00 μB/cell

Structure (POSCAR):
```
LiIrPb
1.0
-3.8309 5.9693 3.6539
3.8309 -5.9693 3.6539
3.8309 5.9693 -3.6539
Li Ir Pb
6 6 6
direct
0.0169 0.2500 0.2669
0.0966 0.0933 0.5033
0.2564 0.6750 0.0814
0.5901 0.5933 0.4967
0.5936 0.1750 0.9186
0.9831 0.7500 0.7331
0.3556 0.3556 0.0000
0.3556 0.8556 0.5000
0.6308 0.1803 0.3163
0.6308 0.8145 0.9505
0.8640 0.3145 0.6837
0.8640 0.6803 0.0495
0.2763 0.0800 0.1428
0.2763 0.6335 0.6963
0.5267 0.3430 0.6837
0.6594 0.8430 0.3163
0.9372 0.1335 0.8572
0.9372 0.5800 0.3037
```